Entry 1:
A relaxed structure of Li11Cu2. Source: OQMD via LeMat-Bulk, functional PBE. Values from VASP.

Geometry as Quantum ESPRESSO input:
```
&SYSTEM
  ibrav = 0, nat = 26, ntyp = 2
/
ATOMIC_SPECIES
Li 6.94 Li.upf
Cu 63.55 Cu.upf
CELL_PARAMETERS angstrom
-4.599 4.599 4.599
4.599 -4.599 4.599
4.599 4.599 -4.599
ATOMIC_POSITIONS angstrom
Li 3.627 3.627 -3.627
Li 4.211 1.773 -1.773
Li 3.249 0.000 0.000
Li 5.948 0.000 0.000
Li 4.211 -1.773 1.773
Li 3.627 -3.627 3.627
Li 0.972 0.972 0.972
Li 1.773 4.211 -1.773
Li 1.773 -1.773 4.211
Li 2.826 2.826 0.388
Li 2.826 0.388 2.826
Li 0.000 3.249 0.000
Li 0.000 0.000 3.249
Li 4.987 1.773 1.773
Li 0.388 2.826 2.826
Li 0.000 5.948 0.000
Li 0.000 0.000 5.948
Li -1.773 4.211 1.773
Li -1.773 1.773 4.211
Li 1.773 4.987 1.773
Li 1.773 1.773 4.987
Li -3.627 3.627 3.627
Cu 1.575 1.575 -1.575
Cu 1.575 -1.575 1.575
Cu -1.575 1.575 1.575
Cu 3.024 3.024 3.024
```

SG: I-43m, No. 217
Calculated total energy in eV per cell: -56.31



Entry 2:
A relaxed structure of Li5Cu2. Source: OQMD via LeMat-Bulk, functional PBE. Values from VASP.

Geometry as Quantum ESPRESSO input:
```
&SYSTEM
  ibrav = 0, nat = 7, ntyp = 2
/
ATOMIC_SPECIES
Li 6.94 Li.upf
Cu 63.55 Cu.upf
CELL_PARAMETERS angstrom
2.152 1.242 6.101
-2.152 1.242 6.101
0.000 -2.485 6.101
ATOMIC_POSITIONS angstrom
Li 0.000 0.000 0.000
Li 0.000 0.000 2.643
Li 0.000 0.000 5.262
Li 0.000 0.000 13.040
Li 0.000 0.000 15.660
Cu 0.000 0.000 7.922
Cu 0.000 0.000 10.380
```

Energy above the lowest structure with this stoichiometry in meV/atom: 0
SG: R-3m, No. 166



Entry 3:
A relaxed structure of LiCu7. Source: OQMD via LeMat-Bulk, functional PBE. Values from VASP.

Geometry as Quantum ESPRESSO input:
```
&SYSTEM
  ibrav = 0, nat = 8, ntyp = 2
/
ATOMIC_SPECIES
Li 6.94 Li.upf
Cu 63.55 Cu.upf
CELL_PARAMETERS angstrom
4.423 0.000 0.000
-0.704 4.389 0.000
-1.461 -0.237 4.860
ATOMIC_POSITIONS angstrom
Li 0.000 0.000 0.000
Cu -0.731 -0.119 2.430
Cu -1.447 2.034 3.641
Cu 0.743 3.151 3.025
Cu 1.496 3.239 0.613
Cu 0.762 0.913 4.247
Cu 1.515 1.001 1.836
Cu 3.704 2.118 1.219
```

SG: P-1, No. 2
Calculated total energy in eV per cell: -28.13



Entry 4:
A relaxed structure of LiCu3. Source: OQMD via LeMat-Bulk, functional PBE. Values from VASP.

Geometry as Quantum ESPRESSO input:
```
&SYSTEM
  ibrav = 0, nat = 16, ntyp = 2
/
ATOMIC_SPECIES
Li 6.94 Li.upf
Cu 63.55 Cu.upf
CELL_PARAMETERS angstrom
7.092 0.000 0.000
0.000 7.092 0.000
0.000 0.000 4.928
ATOMIC_POSITIONS angstrom
Li 1.536 2.010 0.000
Li 2.010 5.556 0.000
Li 5.082 1.536 0.000
Li 5.556 5.082 0.000
Cu 0.000 0.000 1.111
Cu 0.000 0.000 3.816
Cu 0.006 5.177 2.464
Cu 1.630 3.552 2.464
Cu 1.916 0.006 2.464
Cu 3.540 1.630 2.464
Cu 3.546 3.546 1.111
Cu 3.546 3.546 3.816
Cu 3.552 5.462 2.464
Cu 5.177 7.086 2.464
Cu 5.462 3.540 2.464
Cu 7.086 1.916 2.464
```

SG: P4/mbm, No. 127
Calculated total energy in eV per cell: -48.60



Entry 5:
A relaxed structure of Li2LuCu. Source: OQMD via LeMat-Bulk, functional PBE. Values from VASP.

Geometry as Quantum ESPRESSO input:
```
&SYSTEM
  ibrav = 0, nat = 4, ntyp = 3
/
ATOMIC_SPECIES
Li 6.94 Li.upf
Lu 174.97 Lu.upf
Cu 63.55 Cu.upf
CELL_PARAMETERS angstrom
0.000 3.267 3.267
3.267 0.000 3.267
3.267 3.267 0.000
ATOMIC_POSITIONS angstrom
Li 0.000 0.000 0.000
Li 1.633 1.633 1.633
Lu 4.900 4.900 4.900
Cu 3.267 3.267 3.267
```

SG: F-43m, No. 216
Calculated total energy in eV per cell: -11.84



Entry 6:
A relaxed structure of LiLuCu. Source: OQMD via LeMat-Bulk, functional PBE. Values from VASP.

Geometry as Quantum ESPRESSO input:
```
&SYSTEM
  ibrav = 0, nat = 3, ntyp = 3
/
ATOMIC_SPECIES
Li 6.94 Li.upf
Lu 174.97 Lu.upf
Cu 63.55 Cu.upf
CELL_PARAMETERS angstrom
0.000 3.189 3.189
3.189 0.000 3.189
3.189 3.189 0.000
ATOMIC_POSITIONS angstrom
Li 0.000 0.000 0.000
Lu 4.784 4.784 4.784
Cu 3.189 3.189 3.189
```

SG: F-43m, No. 216
Calculated total energy in eV per cell: -8.67